[1]
First-principles (PBE) data for a geometry-optimized TaBePt2 structure, as listed in Alexandria via LeMat-Bulk.

As for the electronic total energy: -6.900 eV per atom. Its formation energy is 0.015 eV per atom.

The space group is I-42d (No. 122) and the conventional cell measures 4.702, 4.702 and 13.309 Å, with angles of 90.00, 90.00 and 90.00 degrees. Symmetry generates all atoms from Ta at (0.000, 0.000, 0.000), Be at (0.000, 0.000, 0.500) and Pt at (0.174, 0.250, 0.625).

---

[2]
First-principles (PBE) data for a geometry-optimized Sr3Ag4Ge2 structure, as listed in Alexandria via LeMat-Bulk.

As for the electronic total energy: -3.218 eV per atom. Its formation energy is -0.364 eV per atom.

The space group is C2/m (No. 12) and the conventional cell measures 11.736, 4.647 and 9.103 Å, with angles of 90.00, 103.68 and 90.00 degrees. Symmetry generates all atoms from Sr at (0.000, 0.000, 0.000), Sr at (0.170, 0.500, 0.662), Ag at (0.056, 0.000, 0.380), Ag at (0.214, 0.500, 0.063) and Ge at (0.099, 0.500, 0.280).

---

[3]
First-principles (PBE) data for a geometry-optimized MnHg2Cl structure, as listed in Alexandria via LeMat-Bulk.

As for the electronic total energy: -2.806 eV per atom. For the uncorrected formation energy, the calculation gives 9.5 kJ/mol of atoms.

The space group is Cmmm (No. 65) and the conventional cell measures 5.611, 9.513 and 3.379 Å, with angles of 90.00, 90.00 and 90.00 degrees. Symmetry generates all atoms from Mn at (0.000, 0.000, 0.000), Hg at (0.250, 0.250, 0.500) and Cl at (0.000, 0.500, 0.000).

---

[4]
First-principles (PBE) data for a geometry-optimized LaP4Ir structure, as listed in Alexandria via LeMat-Bulk.

As for the electronic total energy: -5.763 eV per atom. Its formation energy is 0.142 eV per atom.

The space group is F-43m (No. 216) and the conventional cell measures 7.545, 7.545 and 7.545 Å, with angles of 90.00, 90.00 and 90.00 degrees. Symmetry generates all atoms from La at (0.000, 0.000, 0.000), P at (0.109, 0.109, 0.609) and Ir at (0.250, 0.250, 0.250).

---

[5]
First-principles (PBE) data for a geometry-optimized Mn2CdMo structure, as listed in Alexandria via LeMat-Bulk.

As for the electronic total energy: -7.156 eV per atom. Its formation energy is 0.366 eV per atom.

The space group is R-3m (No. 166, hexagonal axes) and the conventional cell measures 2.9204, 2.9204 and 26.2189 Å, with angles of 90.00, 90.00 and 120.00 degrees. Symmetry generates all atoms from Mn at (0.0000, 0.0000, 0.2419), Cd at (0.0000, 0.0000, 0.0000) and Mo at (0.0000, 0.0000, 0.5000).

---

[6]
First-principles (PBE) data for a geometry-optimized GeI2Cl structure, as listed in Alexandria via LeMat-Bulk.

As for the electronic total energy: -2.383 eV per atom. For the uncorrected formation energy, the calculation gives 0.8 kJ/mol of atoms.

The space group is I-42d (No. 122) and the conventional cell measures 8.210, 8.210 and 8.392 Å, with angles of 90.00, 90.00 and 90.00 degrees. Symmetry generates all atoms from Ge at (0.000, 0.000, 0.000), I at (0.199, 0.250, 0.125) and Cl at (0.000, 0.000, 0.500).

---

[7]
First-principles (PBE) data for a geometry-optimized NiTe2BrN structure, as listed in Alexandria via LeMat-Bulk.

As for the electronic total energy: -3.888 eV per atom. For the uncorrected formation energy, the calculation gives 50.6 kJ/mol of atoms.

The space group is P4/mmm (No. 123) and the conventional cell measures 5.578, 5.578 and 3.416 Å, with angles of 90.00, 90.00 and 90.00 degrees. Symmetry generates all atoms from Ni at (0.000, 0.000, 0.000), Te at (0.000, 0.500, 0.000), Br at (0.500, 0.500, 0.500) and N at (0.000, 0.000, 0.500).

---

[8]
First-principles (PBE) data for a geometry-optimized Co2PbBr structure, as listed in Alexandria via LeMat-Bulk.

As for the electronic total energy: -4.166 eV per atom. For the uncorrected formation energy, the calculation gives 70.7 kJ/mol of atoms.

The space group is Pmmm (No. 47) and the conventional cell measures 3.227, 4.126 and 5.791 Å, with angles of 90.00, 90.00 and 90.00 degrees. Symmetry generates all atoms from Co at (0.000, 0.000, 0.000), Co at (0.500, 0.000, 0.500), Pb at (0.000, 0.500, 0.500) and Br at (0.500, 0.500, 0.000).

---

[9]
First-principles (PBE) data for a geometry-optimized RbPaCuI6 structure, as listed in Alexandria via LeMat-Bulk.

As for the electronic total energy: -3.481 eV per atom. For the uncorrected formation energy, the calculation gives -80.0 kJ/mol of atoms.

The space group is P-31c (No. 163) and the conventional cell measures 7.6547, 7.6547 and 16.8273 Å, with angles of 90.00, 90.00 and 120.00 degrees. Symmetry generates all atoms from Rb at (0.0000, 0.0000, 0.0000), Pa at (0.3333, 0.6667, 0.2500), Cu at (0.3333, 0.6667, 0.7500) and I at (0.0130, 0.3701, 0.6482).

---

[10]
First-principles (PBE) data for a geometry-optimized UPaTcGe structure, as listed in Alexandria via LeMat-Bulk.

As for the electronic total energy: -8.924 eV per atom. Its formation energy is 0.018 eV per atom.

The space group is F-43m (No. 216) and the conventional cell measures 6.773, 6.773 and 6.773 Å, with angles of 90.00, 90.00 and 90.00 degrees. Symmetry generates all atoms from U at (0.000, 0.000, 0.000), Pa at (0.250, 0.250, 0.250), Tc at (0.250, 0.250, 0.750) and Ge at (0.000, 0.000, 0.500).

---

[11]
First-principles (PBE) data for a geometry-optimized HgF8 structure, as listed in Alexandria via LeMat-Bulk.

As for the electronic total energy: -1.684 eV per atom. For the uncorrected formation energy, the calculation gives 1.3 kJ/mol of atoms.

The space group is I4/mmm (No. 139) and the conventional cell measures 8.441, 8.441 and 3.557 Å, with angles of 90.00, 90.00 and 90.00 degrees. Symmetry generates all atoms from Hg at (0.000, 0.000, 0.000), F at (0.000, 0.382, 0.000) and F at (0.139, 0.139, 0.500).

---

[12]
First-principles (PBE) data for a geometry-optimized ErZn3Cu2 structure, as listed in Alexandria via LeMat-Bulk.

As for the electronic total energy: -2.816 eV per atom. Its formation energy is -0.054 eV per atom.

The space group is R-3m (No. 166, hexagonal axes) and the conventional cell measures 5.5820, 5.5820 and 22.6649 Å, with angles of 90.00, 90.00 and 120.00 degrees. Symmetry generates all atoms from Er at (0.0000, 0.0000, 0.2037), Zn at (0.0059, 0.5030, 0.2451), Cu at (0.0000, 0.0000, 0.0000) and Cu at (0.0000, 0.5000, 0.0000).